Record 1
CaPtAu: optimized geometry, GGA-PBE.

E above lowest polymorph = 252 meV per atom
magnetic moment = 0.00 μB/cell
energy of formation = -0.5399 eV per atom
total DFT energy (no corrections) = -12.94 eV/f.u.

Lattice parameters (Å, degrees): 6.5825 6.5825 6.5825 90.00 90.00 90.00
Space group F-43m (No. 216)
Symmetry-distinct sites (fractional):
Ca 0.0000 0.0000 0.0000 x4
Pt 0.2500 0.2500 0.2500 x4
Au 0.0000 0.0000 0.5000 x4



Record 2
CaPt2Au: optimized geometry, GGA-PBE.

magnetic moment = 0.00 μB/cell
energy of formation = -0.3957 eV per atom
total DFT energy (no corrections) = -18.94 eV/f.u.

Lattice parameters (Å, degrees): 6.6846 6.6846 6.6846 90.00 90.00 90.00
Space group F-43m (No. 216)
Symmetry-distinct sites (fractional):
Ca 0.0000 0.0000 0.0000 x4
Pt 0.0000 0.0000 0.5000 x4
Pt 0.2500 0.2500 0.2500 x4
Au 0.2500 0.2500 0.7500 x4



Record 3
CaPt2Au: optimized geometry, GGA-PBE.

magnetic moment = 0.00 μB/cell
energy of formation = -0.1341 eV per atom
total DFT energy (no corrections) = -17.90 eV/f.u.

Lattice parameters (Å, degrees): 2.9950 2.9950 28.1703 90.00 90.00 120.00
Space group R-3m (No. 166, hexagonal axes)
Symmetry-distinct sites (fractional):
Ca 0.0000 0.0000 0.0000 x3
Pt 0.0000 0.0000 0.2509 x6
Au 0.0000 0.0000 0.5000 x3



Record 4
CaPt4Au: optimized geometry, GGA-PBE.

magnetic moment = 0.00 μB/cell
energy of formation = -0.4966 eV per atom
total DFT energy (no corrections) = -32.42 eV/f.u.

Lattice parameters (Å, degrees): 7.5868 7.5868 7.5868 90.00 90.00 90.00
Space group F-43m (No. 216)
Symmetry-distinct sites (fractional):
Ca 0.0000 0.0000 0.0000 x4
Pt 0.1248 0.1248 0.6248 x16
Au 0.2500 0.2500 0.2500 x4



Record 5
CaPt2Au: optimized geometry, GGA-PBE.

magnetic moment = 0.00 μB/cell
energy of formation = -0.4055 eV per atom
total DFT energy (no corrections) = -18.98 eV/f.u.

Lattice parameters (Å, degrees): 2.9510 4.2111 5.9003 90.00 90.00 90.00
Space group Pmmm (No. 47)
Symmetry-distinct sites (fractional):
Ca 0.0000 0.0000 0.0000 x1
Pt 0.5000 0.5000 0.2606 x2
Au 0.0000 0.0000 0.5000 x1



Record 6
Ca3Pt4Au4: optimized geometry, GGA-PBE.

magnetic moment = 0.00 μB/cell
energy of formation = -0.3032 eV per atom
total DFT energy (no corrections) = -46.61 eV/f.u.

Lattice parameters (Å, degrees): 8.0753 8.0753 8.0753 90.00 90.00 90.00
Space group I-43m (No. 217)
Symmetry-distinct sites (fractional):
Ca 0.0000 0.0000 0.5000 x6
Pt 0.1949 0.1949 0.8051 x8
Au 0.1262 0.1262 0.1262 x8



Record 7
Ca2Pt2Au: optimized geometry, GGA-PBE.

E above lowest polymorph = 0 meV per atom
magnetic moment = 0.00 μB/cell
energy of formation = -0.8581 eV per atom
total DFT energy (no corrections) = -23.65 eV/f.u.

Lattice parameters (Å, degrees): 9.8226 5.5418 8.3295 90.00 106.17 90.00
Space group C2/c (No. 15)
Symmetry-distinct sites (fractional):
Ca 0.1509 0.1443 0.1516 x8
Pt 0.1326 0.3626 0.5039 x8
Au 0.0000 0.3141 0.7500 x4



Record 8
CaPt2Au: optimized geometry, GGA-PBE.

magnetic moment = 0.00 μB/cell
energy of formation = -0.4037 eV per atom
total DFT energy (no corrections) = -18.98 eV/f.u.

Lattice parameters (Å, degrees): 3.0104 4.7099 5.4409 90.00 90.08 90.00
Space group Pm (No. 6)
Symmetry-distinct sites (fractional):
Ca 0.0000 0.0000 0.0000 x1
Pt 0.5002 0.5000 0.2446 x1
Pt 0.5006 0.0000 0.4867 x1
Au 0.4993 0.5000 0.7469 x1



Record 9
Ca3Pt7Au2: optimized geometry, GGA-PBE.

magnetic moment = 0.00 μB/cell
energy of formation = -0.7356 eV per atom
total DFT energy (no corrections) = -63.67 eV/f.u.

Lattice parameters (Å, degrees): 5.4632 5.4632 26.8947 90.00 90.00 120.00
Space group R-3m (No. 166, hexagonal axes)
Symmetry-distinct sites (fractional):
Ca 0.0000 0.0000 0.0000 x3
Ca 0.0000 0.0000 0.1411 x6
Pt 0.0000 0.0000 0.5000 x3
Pt 0.0040 0.5020 0.9135 x18
Au 0.0000 0.0000 0.3332 x6



Record 10
Ca8Pt3Au2: optimized geometry, GGA-PBE.

magnetic moment = 0.00 μB/cell
energy of formation = -0.7454 eV per atom
total DFT energy (no corrections) = -50.38 eV/f.u.

Lattice parameters (Å, degrees): 8.7247 4.9948 8.7576 90.00 109.94 90.00
Space group P2/m (No. 10)
Symmetry-distinct sites (fractional):
Ca 0.1195 0.0000 0.3811 x2
Ca 0.1334 0.5000 0.8713 x2
Ca 0.3717 0.5000 0.6339 x2
Ca 0.3811 0.0000 0.1180 x2
Pt 0.2470 0.0000 0.7468 x2
Pt 0.5000 0.5000 0.0000 x1
Au 0.2486 0.5000 0.2513 x2



Record 11
CaPt2Au: optimized geometry, GGA-PBE.

magnetic moment = 0.00 μB/cell
energy of formation = -0.3042 eV per atom
total DFT energy (no corrections) = -18.58 eV/f.u.

Lattice parameters (Å, degrees): 4.0588 4.0588 19.4463 90.00 90.00 90.00
Space group I-42d (No. 122)
Symmetry-distinct sites (fractional):
Ca 0.0000 0.0000 0.0000 x4
Pt 0.2288 0.2500 0.6250 x8
Au 0.0000 0.0000 0.5000 x4



Record 12
Ca8Pt2Au: optimized geometry, GGA-PBE.

magnetic moment = 0.00 μB/cell
energy of formation = -0.5670 eV per atom
total DFT energy (no corrections) = -37.61 eV/f.u.

Lattice parameters (Å, degrees): 8.9419 13.0767 6.0178 90.00 105.71 90.00
Space group Cm (No. 8)
Symmetry-distinct sites (fractional):
Ca 0.0000 0.0000 0.0000 x2
Ca 0.0738 0.3659 0.8021 x4
Ca 0.1700 0.1331 0.6161 x4
Ca 0.2402 0.5000 0.3965 x2
Ca 0.3744 0.2290 0.2032 x4
Pt 0.3689 0.3140 0.6958 x4
Au 0.3698 0.0000 0.0380 x2



Record 13
Ca8Pt2Au3: optimized geometry, GGA-PBE.

magnetic moment = 0.00 μB/cell
energy of formation = -0.7158 eV per atom
total DFT energy (no corrections) = -47.23 eV/f.u.

Lattice parameters (Å, degrees): 10.0870 14.2327 5.0420 90.00 90.00 90.00
Space group Cmmm (No. 65)
Symmetry-distinct sites (fractional):
Ca 0.0000 0.1283 0.0000 x4
Ca 0.0000 0.3709 0.0000 x4
Ca 0.2487 0.3716 0.5000 x8
Pt 0.0000 0.2499 0.5000 x4
Au 0.0000 0.0000 0.5000 x2
Au 0.2473 0.5000 0.0000 x4



Record 14
Ca6Pt3Au: optimized geometry, GGA-PBE.

magnetic moment = 0.00 μB/cell
energy of formation = -0.7546 eV per atom
total DFT energy (no corrections) = -40.96 eV/f.u.

Lattice parameters (Å, degrees): 10.6031 4.3775 12.4697 90.00 110.33 90.00
Space group P2_1/m (No. 11)
Symmetry-distinct sites (fractional):
Ca 0.0273 0.2500 0.3920 x2
Ca 0.0805 0.2500 0.9140 x2
Ca 0.2370 0.7500 0.3225 x2
Ca 0.3426 0.7500 0.0972 x2
Ca 0.3433 0.7500 0.8027 x2
Ca 0.3886 0.2500 0.5679 x2
Pt 0.1249 0.2500 0.1681 x2
Pt 0.2001 0.7500 0.5370 x2
Pt 0.4032 0.2500 0.9674 x2
Au 0.4165 0.2500 0.2952 x2



Record 15
CaPt2Au4: optimized geometry, GGA-PBE.

magnetic moment = 0.00 μB/cell
energy of formation = -0.3780 eV per atom
total DFT energy (no corrections) = -29.84 eV/f.u.

Lattice parameters (Å, degrees): 8.8641 6.9548 5.5176 90.00 128.20 90.00
Space group C2/m (No. 12)
Symmetry-distinct sites (fractional):
Ca 0.0000 0.0000 0.0000 x2
Pt 0.0004 0.5000 0.2504 x4
Au 0.2027 0.2028 0.7033 x8



Record 16
Ca2Pt2Au: optimized geometry, GGA-PBE.

E above lowest polymorph = 362 meV per atom
magnetic moment = 0.00 μB/cell
energy of formation = -0.4959 eV per atom
total DFT energy (no corrections) = -21.84 eV/f.u.

Lattice parameters (Å, degrees): 8.4753 8.4753 3.0255 90.00 90.00 90.00
Space group P4/mbm (No. 127)
Symmetry-distinct sites (fractional):
Ca 0.1705 0.3295 0.0000 x4
Pt 0.1241 0.6241 0.5000 x4
Au 0.0000 0.0000 0.0000 x2



Record 17
CaPtAu: optimized geometry, GGA-PBE.

E above lowest polymorph = 212 meV per atom
magnetic moment = 0.00 μB/cell
energy of formation = -0.5802 eV per atom
total DFT energy (no corrections) = -13.06 eV/f.u.

Lattice parameters (Å, degrees): 5.9450 5.8059 7.1037 90.00 99.35 90.00
Space group C2/m (No. 12)
Symmetry-distinct sites (fractional):
Ca 0.0892 0.0000 0.3131 x4
Pt 0.0747 0.5000 0.3212 x4
Au 0.2500 0.2500 0.0000 x4



Record 18
Ca3Pt2Au: optimized geometry, GGA-PBE.

magnetic moment = 0.00 μB/cell
energy of formation = -0.8638 eV per atom
total DFT energy (no corrections) = -26.55 eV/f.u.

Lattice parameters (Å, degrees): 3.5286 3.5286 10.7525 90.00 90.00 90.00
Space group P4/mmm (No. 123)
Symmetry-distinct sites (fractional):
Ca 0.0000 0.0000 0.0000 x1
Ca 0.0000 0.0000 0.3175 x2
Pt 0.5000 0.5000 0.1619 x2
Au 0.5000 0.5000 0.5000 x1



Record 19
CaPt2Au: optimized geometry, GGA-PBE.

magnetic moment = 0.00 μB/cell
energy of formation = -0.4102 eV per atom
total DFT energy (no corrections) = -19.00 eV/f.u.

Lattice parameters (Å, degrees): 9.7467 3.1168 4.9545 90.00 102.25 90.00
Space group C2/m (No. 12)
Symmetry-distinct sites (fractional):
Ca 0.0000 0.0000 0.0000 x2
Pt 0.2458 0.0000 0.7381 x4
Au 0.0000 0.5000 0.5000 x2



Record 20
Ca5PtAu2: optimized geometry, GGA-PBE.

magnetic moment = 0.00 μB/cell
energy of formation = -0.7306 eV per atom
total DFT energy (no corrections) = -28.45 eV/f.u.

Lattice parameters (Å, degrees): 7.8634 12.6426 4.4969 90.00 90.00 90.00
Space group Pbam (No. 55)
Symmetry-distinct sites (fractional):
Ca 0.0000 0.0000 0.0000 x2
Ca 0.1625 0.2985 0.0000 x4
Ca 0.1743 0.5887 0.5000 x4
Pt 0.0000 0.5000 0.0000 x2
Au 0.0455 0.8302 0.5000 x4